A plane-wave DFT calculation with PBE was carried out for a relaxed Cs2RbAlCl6 crystal.

Output
calculated total energy = -3.5782 eV/atom
Fermi-level density of states = 0.000 states/eV per atom
uncorrected formation energy = -1828 meV per atom

a b c (Å): 10.9990 10.9990 10.9990
angles (deg): 90.00 90.00 90.00
With the nearest neighbours (Å) after each atom.
Space group Fm-3m (No. 225)
Inequivalent atoms, fractional coordinates:
Cs 0.2500 0.2500 0.2500 [8 per cell]  12 Cl 3.91
Rb 0.0000 0.0000 0.0000 [4 per cell]  6 Cl 3.15
Al 0.0000 0.0000 0.5000 [4 per cell]  6 Cl 2.35
Cl 0.0000 0.0000 0.2860 [24 per cell]  1 Al 2.35